Below is crystalline NbZnTc2Ni at its relaxed geometry, with properties calculated at the GGA-PBE level.

abc: 4.679 4.679 4.919
angles: 90.00 90.00 90.00
Space group P4/mmm (No. 123)
Asymmetric unit:
Nb: 0.000 0.000 0.000 [1 per cell]
Zn: 0.000 0.000 0.500 [1 per cell]
Tc: 0.000 0.500 0.000 [2 per cell]
Ni: 0.500 0.500 0.500 [1 per cell]

Total DFT energy (no corrections), eV/atom: -5.769

Below is crystalline CeHo4Er at its relaxed geometry, with properties calculated at the GGA-PBE level.

abc: 6.591 11.428 10.025
angles: 90.00 90.00 90.00
Space group Imma (No. 74)
Asymmetric unit:
Ce: 0.000 0.000 0.000 [4 per cell]
Ho: 0.000 0.000 0.334 [8 per cell]
Ho: 0.250 0.250 0.083 [8 per cell]
Er: 0.250 0.250 0.750 [4 per cell]

Total DFT energy (no corrections), eV/atom: -4.522
Energy above the lowest structure with this stoichiometry, eV/atom: 0.256

Below is crystalline DyThInPb at its relaxed geometry, with properties calculated at the GGA-PBE level.

abc: 7.732 7.732 7.732
angles: 90.00 90.00 90.00
Space group F-43m (No. 216)
Asymmetric unit:
Dy: 0.000 0.000 0.000 [4 per cell]
Th: 0.000 0.000 0.500 [4 per cell]
In: 0.250 0.250 0.750 [4 per cell]
Pb: 0.250 0.250 0.250 [4 per cell]

Total DFT energy (no corrections), eV/atom: -4.892

Below is crystalline LiSm4Hg3 at its relaxed geometry, with properties calculated at the GGA-PBE level.

abc: 5.366 5.366 14.997
angles: 90.00 90.00 90.00
Space group I4/mmm (No. 139)
Asymmetric unit:
Li: 0.000 0.000 0.000 [2 per cell]
Sm: 0.000 0.500 0.125 [8 per cell]
Hg: 0.000 0.000 0.247 [4 per cell]
Hg: 0.000 0.000 0.500 [2 per cell]

Total DFT energy (no corrections), eV/atom: -3.064

Below is crystalline YHPbAu2 at its relaxed geometry, with properties calculated at the GGA-PBE level.

abc: 4.818 4.818 4.135
angles: 90.00 90.00 90.00
Space group P4/mmm (No. 123)
Asymmetric unit:
Y: 0.000 0.000 0.000 [1 per cell]
H: 0.000 0.000 0.500 [1 per cell]
Pb: 0.500 0.500 0.000 [1 per cell]
Au: 0.000 0.500 0.500 [2 per cell]

Total DFT energy (no corrections), eV/atom: -4.318

Below is crystalline K2AlHg at its relaxed geometry, with properties calculated at the GGA-PBE level.

abc: 9.110 9.198 3.422
angles: 90.00 90.00 90.00
Space group Cmmm (No. 65)
Asymmetric unit:
K: 0.250 0.250 0.000 [4 per cell]
Al: 0.000 0.000 0.500 [2 per cell]
Hg: 0.000 0.500 0.500 [2 per cell]

Total DFT energy (no corrections), eV/atom: -1.397
Energy above the lowest structure with this stoichiometry, eV/atom: 0.157

Below is crystalline NaPt3 at its relaxed geometry, with properties calculated at the GGA-PBE level.

abc: 2.750 9.337 4.982
angles: 90.00 90.00 90.00
Space group Imm2 (No. 44)
Asymmetric unit:
Na: 0.000 0.000 0.000 [2 per cell]
Pt: 0.000 0.243 0.684 [4 per cell]
Pt: 0.000 0.500 0.988 [2 per cell]

Total DFT energy (no corrections), eV/atom: -5.001

Below is crystalline HoLuFeNi at its relaxed geometry, with properties calculated at the GGA-PBE level.

abc: 6.596 6.596 6.596
angles: 90.00 90.00 90.00
Space group F-43m (No. 216)
Asymmetric unit:
Ho: 0.000 0.000 0.000 [4 per cell]
Lu: 0.000 0.000 0.500 [4 per cell]
Fe: 0.250 0.250 0.750 [4 per cell]
Ni: 0.250 0.250 0.250 [4 per cell]

Total DFT energy (no corrections), eV/atom: -5.983

Below is crystalline ZrZnFe2 at its relaxed geometry, with properties calculated at the GGA-PBE level.

abc: 4.069 4.069 3.415
angles: 90.00 90.00 90.00
Space group P4/mmm (No. 123)
Asymmetric unit:
Zr: 0.000 0.000 0.000 [1 per cell]
Zn: 0.500 0.500 0.000 [1 per cell]
Fe: 0.000 0.500 0.500 [2 per cell]

Total DFT energy (no corrections), eV/atom: -6.710

Below is crystalline AsOs3W at its relaxed geometry, with properties calculated at the GGA-PBE level.

abc: 4.469 4.469 4.469
angles: 90.00 90.00 90.00
Space group Pm-3m (No. 221)
Asymmetric unit:
As: 0.000 0.000 0.000 [1 per cell]
Os: 0.000 0.000 0.500 [3 per cell]
W: 0.500 0.500 0.500 [1 per cell]

Total DFT energy (no corrections), eV/atom: -8.383
Energy above the lowest structure with this stoichiometry, eV/atom: 0.000

Below is crystalline BaCe3Sb4 at its relaxed geometry, with properties calculated at the GGA-PBE level.

abc: 9.302 13.073 4.602
angles: 90.00 90.00 90.00
Space group Cmmm (No. 65)
Asymmetric unit:
Ba: 0.000 0.000 0.000 [2 per cell]
Ce: 0.000 0.500 0.000 [2 per cell]
Ce: 0.250 0.250 0.500 [4 per cell]
Sb: 0.000 0.260 0.000 [4 per cell]
Sb: 0.227 0.500 0.500 [4 per cell]

Total DFT energy (no corrections), eV/atom: -5.521

Below is crystalline Sc2PtBr at its relaxed geometry, with properties calculated at the GGA-PBE level.

abc: 6.890 6.890 6.890
angles: 90.00 90.00 90.00
Space group F-43m (No. 216)
Asymmetric unit:
Sc: 0.000 0.000 0.000 [4 per cell]
Sc: 0.250 0.250 0.250 [4 per cell]
Pt: 0.250 0.250 0.750 [4 per cell]
Br: 0.000 0.000 0.500 [4 per cell]

Total DFT energy (no corrections), eV/atom: -5.172
Energy above the lowest structure with this stoichiometry, eV/atom: 1.018

Below is crystalline As2WSe at its relaxed geometry, with properties calculated at the GGA-PBE level.

abc: 3.136 4.450 11.376
angles: 90.00 90.00 90.00
Space group Immm (No. 71)
Asymmetric unit:
As: 0.000 0.000 0.185 [4 per cell]
W: 0.000 0.500 0.500 [2 per cell]
Se: 0.000 0.500 0.000 [2 per cell]

Total DFT energy (no corrections), eV/atom: -6.021

Below is crystalline Ca2TlRuC at its relaxed geometry, with properties calculated at the GGA-PBE level.

abc: 5.150 5.150 3.945
angles: 90.00 90.00 90.00
Space group P4/mmm (No. 123)
Asymmetric unit:
Ca: 0.000 0.500 0.000 [2 per cell]
Tl: 0.000 0.000 0.500 [1 per cell]
Ru: 0.500 0.500 0.500 [1 per cell]
C: 0.500 0.500 0.000 [1 per cell]

Total DFT energy (no corrections), eV/atom: -5.085

Below is crystalline RbAuI3 at its relaxed geometry, with properties calculated at the GGA-PBE level.

abc: 7.739 13.891 8.466
angles: 90.00 90.00 90.00
Space group Pnma (No. 62)
Asymmetric unit:
Rb: 0.000 0.000 0.000 [4 per cell]
Au: 0.012 0.250 0.207 [4 per cell]
I: 0.010 0.111 0.433 [8 per cell]
I: 0.014 0.250 0.897 [4 per cell]

Total DFT energy (no corrections), eV/atom: -2.356

Below is crystalline CuTc2W at its relaxed geometry, with properties calculated at the GGA-PBE level.

abc: 9.172 2.862 4.544
angles: 90.00 103.05 90.00
Space group Cm (No. 8)
Asymmetric unit:
Cu: 0.000 0.000 0.000 [2 per cell]
Tc: 0.251 0.500 0.262 [2 per cell]
Tc: 0.495 0.000 0.494 [2 per cell]
W: 0.248 0.000 0.756 [2 per cell]

Total DFT energy (no corrections), eV/atom: -9.207
Energy above the lowest structure with this stoichiometry, eV/atom: 0.080

Below is crystalline CuAg2Br3 at its relaxed geometry, with properties calculated at the GGA-PBE level.

abc: 4.2523 4.2523 10.9041
angles: 90.00 90.00 120.00
Space group P3m1 (No. 156)
Asymmetric unit:
Cu: 0.0000 0.0000 0.0000 [1 per cell]
Ag: 0.3333 0.6667 0.6900 [1 per cell]
Ag: 0.6667 0.3333 0.3351 [1 per cell]
Br: 0.0000 0.0000 0.2264 [1 per cell]
Br: 0.3333 0.6667 0.9371 [1 per cell]
Br: 0.6667 0.3333 0.5814 [1 per cell]

Total DFT energy (no corrections), eV/atom: -2.757
Energy above the lowest structure with this stoichiometry, eV/atom: 0.000

Below is crystalline PmTmLuSc at its relaxed geometry, with properties calculated at the GGA-PBE level.

abc: 7.796 7.796 7.796
angles: 90.00 90.00 90.00
Space group F-43m (No. 216)
Asymmetric unit:
Pm: 0.000 0.000 0.000 [4 per cell]
Tm: 0.000 0.000 0.500 [4 per cell]
Lu: 0.250 0.250 0.250 [4 per cell]
Sc: 0.250 0.250 0.750 [4 per cell]

Total DFT energy (no corrections), eV/atom: -4.917

Below is crystalline Dy3Pt2Au at its relaxed geometry, with properties calculated at the GGA-PBE level.

abc: 5.009 14.906 3.529
angles: 90.00 90.00 90.00
Space group Cmmm (No. 65)
Asymmetric unit:
Dy: 0.000 0.000 0.000 [2 per cell]
Dy: 0.000 0.329 0.000 [4 per cell]
Pt: 0.000 0.165 0.500 [4 per cell]
Au: 0.000 0.500 0.500 [2 per cell]

Total DFT energy (no corrections), eV/atom: -5.958

Below is crystalline MoPRh2 at its relaxed geometry, with properties calculated at the GGA-PBE level.

abc: 3.945 3.945 7.198
angles: 90.00 90.00 90.00
Space group I-4m2 (No. 119)
Asymmetric unit:
Mo: 0.000 0.000 0.000 [2 per cell]
P: 0.000 0.500 0.750 [2 per cell]
Rh: 0.000 0.000 0.500 [2 per cell]
Rh: 0.000 0.500 0.250 [2 per cell]

Total DFT energy (no corrections), eV/atom: -7.853

Below is crystalline La3PmPrY at its relaxed geometry, with properties calculated at the GGA-PBE level.

abc: 8.204 5.255 10.488
angles: 90.00 108.66 90.00
Space group P2_1/m (No. 11)
Asymmetric unit:
La: 0.168 0.250 0.043 [2 per cell]
La: 0.169 0.250 0.541 [2 per cell]
La: 0.170 0.750 0.793 [2 per cell]
Pm: 0.499 0.750 0.625 [2 per cell]
Pr: 0.169 0.750 0.292 [2 per cell]
Y: 0.499 0.750 0.125 [2 per cell]

Total DFT energy (no corrections), eV/atom: -5.109

Below is crystalline Ga2FeTcSn at its relaxed geometry, with properties calculated at the GGA-PBE level.

abc: 4.864 4.864 4.435
angles: 90.00 90.00 90.00
Space group P4/mmm (No. 123)
Asymmetric unit:
Ga: 0.000 0.500 0.000 [2 per cell]
Fe: 0.000 0.000 0.500 [1 per cell]
Tc: 0.000 0.000 0.000 [1 per cell]
Sn: 0.500 0.500 0.500 [1 per cell]

Total DFT energy (no corrections), eV/atom: -5.160

Below is crystalline KCdHg2Pd at its relaxed geometry, with properties calculated at the GGA-PBE level.

abc: 5.381 5.381 5.284
angles: 90.00 90.00 90.00
Space group P4/mmm (No. 123)
Asymmetric unit:
K: 0.000 0.000 0.000 [1 per cell]
Cd: 0.500 0.500 0.000 [1 per cell]
Hg: 0.000 0.500 0.500 [2 per cell]
Pd: 0.500 0.500 0.500 [1 per cell]

Total DFT energy (no corrections), eV/atom: -1.788

Below is crystalline Ba2Sr4Ca at its relaxed geometry, with properties calculated at the GGA-PBE level.

abc: 20.632 4.082 10.497
angles: 90.00 118.15 90.00
Space group C2/m (No. 12)
Asymmetric unit:
Ba: 0.217 0.000 0.150 [4 per cell]
Sr: 0.073 0.000 0.708 [4 per cell]
Sr: 0.132 0.500 0.403 [4 per cell]
Ca: 0.000 0.000 0.000 [2 per cell]

Total DFT energy (no corrections), eV/atom: -1.728
Energy above the lowest structure with this stoichiometry, eV/atom: 0.000

Below is crystalline Cd3AgGe at its relaxed geometry, with properties calculated at the GGA-PBE level.

abc: 5.188 5.188 5.188
angles: 90.00 90.00 90.00
Space group Pm-3m (No. 221)
Asymmetric unit:
Cd: 0.000 0.000 0.500 [3 per cell]
Ag: 0.000 0.000 0.000 [1 per cell]
Ge: 0.500 0.500 0.500 [1 per cell]

Total DFT energy (no corrections), eV/atom: -1.538
Energy above the lowest structure with this stoichiometry, eV/atom: 0.050

Below is crystalline Ce5Cu3Au3 at its relaxed geometry, with properties calculated at the GGA-PBE level.

abc: 9.4240 9.4240 3.0357
angles: 90.00 90.00 120.00
Space group P-62m (No. 189)
Asymmetric unit:
Ce: 0.0000 0.3404 0.0000 [3 per cell]
Ce: 0.3333 0.6667 0.0000 [2 per cell]
Cu: 0.0000 0.8520 0.0000 [3 per cell]
Au: 0.0000 0.6254 0.5000 [3 per cell]

Total DFT energy (no corrections), eV/atom: -4.741

Below is crystalline La2Y7Th at its relaxed geometry, with properties calculated at the GGA-PBE level.

abc: 5.119 7.210 9.570
angles: 101.09 105.51 90.07
Space group P-1 (No. 2)
Asymmetric unit:
La: 0.200 0.100 0.400 [2 per cell]
Y: 0.000 0.000 0.000 [1 per cell]
Y: 0.197 0.599 0.394 [2 per cell]
Y: 0.402 0.694 0.804 [2 per cell]
Y: 0.403 0.207 0.807 [2 per cell]
Th: 0.000 0.500 0.000 [1 per cell]

Total DFT energy (no corrections), eV/atom: -6.220